[1]
{"formula": "ZrTi2Zn2Rh2", "functional": "GGA-PBE", "state": "optimized geometry", "formation_enthalpy_0k_ev_per_atom": -0.408, "sg": "C2/m", "lattice_angstrom": [[3.795, -2.189, 0.000], [3.795, 2.189, 0.000], [-2.550, 0.000, 6.936]], "species": ["Zr", "Ti", "Ti", "Zn", "Zn", "Rh", "Rh"], "frac_coords": [[0.000, 0.000, 0.000], [0.418, 0.418, 0.253], [0.582, 0.582, 0.747], [0.141, 0.141, 0.423], [0.859, 0.859, 0.577], [0.266, 0.266, 0.796], [0.734, 0.734, 0.204]]}



[2]
{"formula": "TlTe2As", "functional": "GGA-PBE", "state": "optimized geometry", "formation_energy_uncorrected_ev_per_atom": 0.04, "sg": "C2/m", "lattice_angstrom": [[6.580, -2.216, 0.000], [6.580, 2.216, 0.000], [-1.482, 0.000, 4.174]], "species": ["Tl", "Te", "Te", "As"], "frac_coords": [[0.000, 0.000, 0.000], [0.270, 0.270, 0.270], [0.730, 0.730, 0.730], [0.500, 0.500, 0.500]]}



[3]
{"formula": "InAu3I", "functional": "GGA-PBE", "state": "optimized geometry", "formation_energy_uncorrected_ev_per_atom": 0.54, "e_above_lowest_polymorph_ev_per_atom": 0.000, "sg": "Pm-3m", "lattice_angstrom": [[5.283, 0.000, 0.000], [0.000, 5.283, 0.000], [0.000, 0.000, 5.283]], "species": ["In", "Au", "Au", "Au", "I"], "frac_coords": [[0.000, 0.000, 0.000], [0.000, 0.000, 0.500], [0.000, 0.500, 0.000], [0.500, 0.000, 0.000], [0.500, 0.500, 0.500]]}



[4]
{"formula": "HoErTh3", "functional": "GGA-PBE", "state": "optimized geometry", "formation_enthalpy_0k_ev_per_atom": 0.381, "e_above_lowest_polymorph_ev_per_atom": 0.045, "sg": "C2", "lattice_angstrom": [[3.003, -8.268, 0.000], [3.003, 8.268, 0.000], [-0.269, 0.000, 3.479]], "species": ["Ho", "Er", "Th", "Th", "Th"], "frac_coords": [[0.000, 0.000, 0.000], [0.535, 0.465, 0.500], [0.368, 0.632, 0.000], [0.461, 0.049, 0.717], [0.951, 0.539, 0.283]]}



Going through the records in order, we get V values of 115 122 147 173 Å³/cell.